[1]
Here is a geometry-optimized Hf2Ge2Os structure from the Alexandria database. Energies are from PBE-GGA.

Results
**Crystal system**: tetragonal
**ΔE_f**: -0.5888 eV per atom
**Calculated volume**: 173.10 Å³/cell
**DOS(E_F)**: 0.41 states/eV/atom

Structure (CIF):
```
data_Hf2Ge2Os
_cell_length_a 6.447
_cell_length_b 6.447
_cell_length_c 4.165
_cell_angle_alpha 90.00
_cell_angle_beta 90.00
_cell_angle_gamma 90.00
_space_group_name_H-M_alt 'P 4/m b m'
_space_group_IT_number 127
_space_group_name_Hall '-P 4 2ab'
loop_
_atom_site_label
_atom_site_fract_x
_atom_site_fract_y
_atom_site_fract_z
Hf1 0.174 0.326 0.000
Ge1 0.137 0.637 0.500
Os1 0.000 0.000 0.500
```

---

[2]
Here is a geometry-optimized Hf2GeOs structure from the Alexandria database. Energies are from PBE-GGA.

Results
**Crystal system**: tetragonal
**ΔE_f**: 0.1245 eV per atom
**Calculated volume**: 317.42 Å³/cell
**DOS(E_F)**: 1.04 states/eV/atom

Structure (CIF):
```
data_Hf2GeOs
_cell_length_a 7.264
_cell_length_b 7.264
_cell_length_c 6.015
_cell_angle_alpha 90.00
_cell_angle_beta 90.00
_cell_angle_gamma 90.00
_space_group_name_H-M_alt 'I -4 2 d'
_space_group_IT_number 122
_space_group_name_Hall 'I -4 2bw'
loop_
_atom_site_label
_atom_site_fract_x
_atom_site_fract_y
_atom_site_fract_z
Hf1 0.233 0.250 0.125
Ge1 0.000 0.000 0.500
Os1 0.000 0.000 0.000
```

---

[3]
Here is a geometry-optimized Hf4GeOs structure from the Alexandria database. Energies are from PBE-GGA.

Results
**Crystal system**: tetragonal
**ΔE_f**: 0.1237 eV per atom
**Calculated volume**: 585.68 Å³/cell
**DOS(E_F)**: 0.64 states/eV/atom

Structure (CIF):
```
data_Hf4GeOs
_cell_length_a 8.517
_cell_length_b 8.517
_cell_length_c 8.073
_cell_angle_alpha 90.00
_cell_angle_beta 90.00
_cell_angle_gamma 90.00
_space_group_name_H-M_alt 'I 41 m d'
_space_group_IT_number 109
_space_group_name_Hall 'I 4bw -2'
loop_
_atom_site_label
_atom_site_fract_x
_atom_site_fract_y
_atom_site_fract_z
Hf1 0.000 0.190 0.000
Hf2 0.000 0.204 0.490
Ge1 0.000 0.000 0.740
Os1 0.000 0.000 0.245
```

---

[4]
Here is a geometry-optimized HfGeOs structure from the Alexandria database. Energies are from PBE-GGA.

Results
**Crystal system**: orthorhombic
**ΔE_f**: -0.6168 eV per atom
**Calculated volume**: 594.34 Å³/cell
**DOS(E_F)**: 0.26 states/eV/atom

Structure (CIF):
```
data_HfGeOs
_cell_length_a 7.530
_cell_length_b 11.649
_cell_length_c 6.776
_cell_angle_alpha 90.00
_cell_angle_beta 90.00
_cell_angle_gamma 90.00
_space_group_name_H-M_alt 'I m a 2'
_space_group_IT_number 46
loop_
_space_group_symop_operation_xyz
'x,y,z'
'-x,-y,z'
'-x+1/2,y,z'
'x+1/2,-y,z'
'x+1/2,y+1/2,z+1/2'
'-x+1/2,-y+1/2,z+1/2'
'-x,y+1/2,z+1/2'
'x,-y+1/2,z+1/2'
loop_
_atom_site_label
_atom_site_fract_x
_atom_site_fract_y
_atom_site_fract_z
Hf1 0.250 0.001 0.000
Hf2 0.250 0.224 0.652
Hf3 0.250 0.696 0.121
Ge1 0.006 0.667 0.421
Ge2 0.250 0.032 0.411
Os1 0.000 0.000 0.666
Os2 0.033 0.624 0.795
```

---

> What is the formula in the first record?

Hf2Ge2Os